Entry from Alexandria via LeMat-Bulk: an optimized crystal structure of HfCdNi3 (PBE).

a b c (Å): 4.5970 4.5970 4.5970
angles (deg): 90.00 90.00 90.00
Space group Pm-3m (No. 221)
Asymmetric unit:
Hf (0.0000, 0.0000, 0.0000) (multiplicity 1)
Cd (0.5000, 0.5000, 0.5000) (multiplicity 1)
Ni (0.0000, 0.0000, 0.5000) (multiplicity 3)

Calculated values
Energy relative to the elements   0.918 eV/atom
Theoretical density   7.98 g/cm³
Energy above the lowest structure with this stoichiometry   0.0 meV per atom
Raw total energy   -23.6 eV/cell
Total magnetization   0.0000 μB/atom